The following is a GGA-PBE calculation of a geometry-optimized ScReSb2I structure, from Alexandria via LeMat-Bulk.

```
ScReSb2I
1.0
-0.654 3.119 -3.989
-4.805 0.887 1.481
1.800 4.442 3.178
Sb Re Sc I
2 1 1 1
direct
0.500 0.000 0.000
0.000 0.500 0.000
0.000 0.000 0.000
0.500 0.500 0.500
0.000 0.000 0.500
```

Computed properties:
* theoretical density: 6.7 g cm⁻³
* offset from the most stable computed form: 0.00 eV/f.u.
* E_form (uncorrected): 0.667 eV/atom
* N(E_F): 0.980 states/eV/atom